The following is a DFT calculation (PBE) of a geometry-optimized Ce2Ho3Er6Sc structure.

Results
Formation energy from the elements: 50 meV/atom
Total magnetization: 1.7 Bohr magnetons per cell
D(E_F): 1.768 states/eV/atom

Unit cell a=6.0390 b=6.0390 c=11.5663 alpha=94.99 beta=94.99 gamma=119.99
Positions (direct):
Ce 0.1663 0.8337 0.0000
Ce 0.8337 0.1663 0.0000
Ho 0.0000 0.0000 0.5000
Ho 0.3341 0.6659 0.5000
Ho 0.6659 0.3341 0.5000
Er 0.0851 0.4175 0.7529
Er 0.2499 0.2499 0.2473
Er 0.4175 0.0851 0.7529
Er 0.5825 0.9149 0.2471
Er 0.7501 0.7501 0.7527
Er 0.9149 0.5825 0.2471
Sc 0.5000 0.5000 0.0000

=====

The following is a DFT calculation (PBE) of a geometry-optimized CeHo6Er3Sc2 structure.

Results
Formation energy from the elements: 53 meV/atom
Total magnetization: 1.1 Bohr magnetons per cell
D(E_F): 1.659 states/eV/atom

Unit cell a=6.0175 b=6.0175 c=11.5420 alpha=94.98 beta=94.98 gamma=119.98
Positions (direct):
Ce 0.0000 0.0000 0.0000
Ho 0.0824 0.4157 0.2462
Ho 0.2512 0.2512 0.7537
Ho 0.4157 0.0824 0.2462
Ho 0.5843 0.9176 0.7538
Ho 0.7488 0.7488 0.2463
Ho 0.9176 0.5843 0.7538
Er 0.1677 0.8323 0.5000
Er 0.5000 0.5000 0.5000
Er 0.8323 0.1677 0.5000
Sc 0.3333 0.6667 0.0000
Sc 0.6667 0.3333 0.0000

=====

The following is a DFT calculation (PBE) of a geometry-optimized CeHo2Er4Sc structure.

Results
Formation energy from the elements: 52 meV/atom
Total magnetization: 0.8 Bohr magnetons per cell
D(E_F): 1.596 states/eV/atom

Unit cell a=4.9225 b=4.9225 c=9.8377 alpha=90.00 beta=90.00 gamma=90.00
Positions (direct):
Ce 0.0000 0.0000 0.0000
Ho 0.0000 0.0000 0.5000
Ho 0.5000 0.5000 0.5000
Er 0.0000 0.5000 0.2452
Er 0.0000 0.5000 0.7548
Er 0.5000 0.0000 0.2452
Er 0.5000 0.0000 0.7548
Sc 0.5000 0.5000 0.0000

=====

The following is a DFT calculation (PBE) of a geometry-optimized CeHo3Er6Sc2 structure.

Results
Formation energy from the elements: 52 meV/atom
Total magnetization: 1.0 Bohr magnetons per cell
D(E_F): 1.651 states/eV/atom

Unit cell a=6.0075 b=6.0075 c=11.5339 alpha=94.97 beta=94.97 gamma=119.98
Positions (direct):
Ce 0.0000 0.0000 0.0000
Ho 0.1678 0.8322 0.5000
Ho 0.5000 0.5000 0.5000
Ho 0.8322 0.1678 0.5000
Er 0.0824 0.4157 0.2458
Er 0.2512 0.2512 0.7541
Er 0.4157 0.0824 0.2458
Er 0.5843 0.9176 0.7542
Er 0.7488 0.7488 0.2459
Er 0.9176 0.5843 0.7542
Sc 0.3333 0.6667 0.0000
Sc 0.6667 0.3333 0.0000